# 1
Density functional theory data (GGA-PBE) for an optimized crystal structure of MgZn2Se2.

a = 5.7999 Å, b = 5.7999 Å, c = 12.3814 Å
α = 109.82°, β = 109.82°, γ = 39.38°
Positions (direct):
Mg 0.0539 0.9461 0.7500
Mg 0.9461 0.0539 0.2500
Zn 0.0227 0.1931 0.0048
Zn 0.1931 0.0227 0.5048
Zn 0.8069 0.9773 0.4952
Zn 0.9773 0.8069 0.9952
Se 0.2860 0.3892 0.1445
Se 0.3892 0.2860 0.6445
Se 0.6108 0.7140 0.3555
Se 0.7140 0.6108 0.8555

Results
Its formation energy without anion corrections is -503 meV/atom. For the magnetization, the calculation gives 0.0 Bohr magnetons per cell. The energy above the most stable polymorph in this dataset is 30 meV per atom. The uncorrected energy is -2.73 eV per atom.

# 2
Density functional theory data (GGA-PBE) for an optimized crystal structure of KLiSn2Se4.

a = 7.2561 Å, b = 7.2561 Å, c = 14.8202 Å
α = 90.00°, β = 90.00°, γ = 146.82°
Positions (direct):
K 0.1119 0.8881 0.7500
K 0.8881 0.1119 0.2500
Li 0.1632 0.8368 0.2500
Li 0.8368 0.1632 0.7500
Sn 0.3702 0.6298 0.5655
Sn 0.3702 0.6298 0.9345
Sn 0.6298 0.3702 0.0655
Sn 0.6298 0.3702 0.4345
Se 0.0000 0.0000 0.0000
Se 0.0000 0.0000 0.5000
Se 0.2612 0.7388 0.1052
Se 0.2612 0.7388 0.3948
Se 0.4324 0.5676 0.7500
Se 0.5676 0.4324 0.2500
Se 0.7388 0.2612 0.6052
Se 0.7388 0.2612 0.8948

Results
Its formation energy without anion corrections is -722 meV/atom. For the magnetization, the calculation gives 0.0 Bohr magnetons per cell. The uncorrected energy is -3.84 eV per atom.

# 3
Density functional theory data (GGA-PBE) for an optimized crystal structure of Cd2InPb4.

a = 8.5591 Å, b = 8.5591 Å, c = 8.5591 Å
α = 140.40°, β = 140.40°, γ = 57.25°
Positions (direct):
Cd 0.1020 0.1020 0.0000
Cd 0.8980 0.8980 0.0000
In 0.5000 0.5000 0.0000
Pb 0.0000 0.5000 0.5000
Pb 0.2951 0.2951 0.0000
Pb 0.5000 0.0000 0.5000
Pb 0.7049 0.7049 0.0000

Results
The energy relative to the elements is 0.406 eV per atom. For the magnetization, the calculation gives 0.0 Bohr magnetons per cell. The energy above the most stable polymorph in this dataset is 332 meV per atom. The uncorrected energy is -2.37 eV per atom.

# 4
Density functional theory data (GGA-PBE) for an optimized crystal structure of Cu2ReSe.

a = 8.4506 Å, b = 8.4506 Å, c = 8.4506 Å
α = 20.14°, β = 20.14°, γ = 20.14°
Positions (direct):
Cu 0.0000 0.0000 0.0000
Cu 0.2598 0.2598 0.2598
Re 0.7508 0.7508 0.7508
Se 0.4897 0.4897 0.4897

Results
Its formation energy without anion corrections is 349 meV/atom. For the magnetization, the calculation gives 0.0 Bohr magnetons per cell. The uncorrected energy is -5.68 eV per atom.

# 5
Density functional theory data (GGA-PBE) for an optimized crystal structure of K2RbY.

a = 6.9446 Å, b = 6.9446 Å, c = 6.9446 Å
α = 60.00°, β = 60.00°, γ = 60.00°
Positions (direct):
K 0.2500 0.2500 0.2500
K 0.7500 0.7500 0.7500
Rb 0.0000 0.0000 0.0000
Y 0.5000 0.5000 0.5000

Results
The energy relative to the elements is 0.582 eV per atom. For the magnetization, the calculation gives 0.0 Bohr magnetons per cell. The energy above the most stable polymorph in this dataset is 128 meV per atom. The uncorrected energy is -1.83 eV per atom.

# 6
Density functional theory data (GGA-PBE) for an optimized crystal structure of PrAlH6.

a = 4.2481 Å, b = 4.2481 Å, c = 4.2481 Å
α = 98.31°, β = 98.31°, γ = 98.31°
Positions (direct):
Pr 0.0000 0.0000 0.0000
Al 0.5000 0.5000 0.5000
H 0.2033 0.2033 0.5620
H 0.2033 0.5620 0.2033
H 0.4380 0.7967 0.7967
H 0.5620 0.2033 0.2033
H 0.7967 0.4380 0.7967
H 0.7967 0.7967 0.4380

Results
For the magnetization, the calculation gives 0.0 Bohr magnetons per cell. The uncorrected energy is -3.89 eV per atom.

# 7
Density functional theory data (GGA-PBE) for an optimized crystal structure of TaVMo.

a = 5.2462 Å, b = 5.2462 Å, c = 4.5576 Å
α = 90.00°, β = 90.00°, γ = 130.91°
Positions (direct):
Ta 0.0866 0.9134 0.7500
Ta 0.9134 0.0866 0.2500
V 0.2466 0.7534 0.2500
V 0.7534 0.2466 0.7500
Mo 0.4118 0.5882 0.7500
Mo 0.5882 0.4118 0.2500

Results
The energy relative to the elements is -0.053 eV per atom. For the magnetization, the calculation gives 0.0 Bohr magnetons per cell. The energy above the most stable polymorph in this dataset is 35 meV per atom. The uncorrected energy is -10.65 eV per atom.

# 8
Density functional theory data (GGA-PBE) for an optimized crystal structure of MnAsCl2.

a = 5.2050 Å, b = 5.2050 Å, c = 5.2050 Å
α = 130.53°, β = 130.53°, γ = 72.57°
Positions (direct):
Mn 0.0000 0.0000 0.0000
As 0.5000 0.5000 0.0000
Cl 0.2500 0.7500 0.5000
Cl 0.7500 0.2500 0.5000

Results
Its formation energy without anion corrections is 291 meV/atom. For the magnetization, the calculation gives 4.0 Bohr magnetons per cell. The energy above the most stable polymorph in this dataset is 711 meV per atom. The uncorrected energy is -4.09 eV per atom.

# 9
Density functional theory data (GGA-PBE) for an optimized crystal structure of Ac4GeIr2.

a = 12.8467 Å, b = 12.8467 Å, c = 12.8467 Å
α = 20.68°, β = 20.68°, γ = 20.68°
Positions (direct):
Ac 0.1200 0.1200 0.1200
Ac 0.2923 0.2923 0.2923
Ac 0.7077 0.7077 0.7077
Ac 0.8800 0.8800 0.8800
Ge 0.5000 0.5000 0.5000
Ir 0.4099 0.4099 0.4099
Ir 0.5901 0.5901 0.5901

Results
The energy relative to the elements is -0.574 eV per atom. For the magnetization, the calculation gives 0.0 Bohr magnetons per cell. The energy above the most stable polymorph in this dataset is 50 meV per atom. The uncorrected energy is -6.11 eV per atom.

# 10
Density functional theory data (GGA-PBE) for an optimized crystal structure of Sr2Tl2As.

a = 8.2079 Å, b = 8.2079 Å, c = 5.4813 Å
α = 90.00°, β = 90.00°, γ = 90.00°
Positions (direct):
Sr 0.1764 0.3236 0.0000
Sr 0.3236 0.8236 0.0000
Sr 0.6764 0.1764 0.0000
Sr 0.8236 0.6764 0.0000
Tl 0.1371 0.6371 0.5000
Tl 0.3629 0.1371 0.5000
Tl 0.6371 0.8629 0.5000
Tl 0.8629 0.3629 0.5000
As 0.0000 0.0000 0.0000
As 0.5000 0.5000 0.0000

Results
The energy relative to the elements is -0.306 eV per atom. For the magnetization, the calculation gives 0.0 Bohr magnetons per cell. The energy above the most stable polymorph in this dataset is 62 meV per atom. The uncorrected energy is -2.86 eV per atom.

# 11
Density functional theory data (GGA-PBE) for an optimized crystal structure of Ac2Al5Cu5.

a = 4.2377 Å, b = 5.4775 Å, c = 9.5272 Å
α = 90.00°, β = 90.00°, γ = 90.00°
Positions (direct):
Ac 0.0000 0.0000 0.0000
Ac 0.0000 0.5000 0.5000
Al 0.5000 0.0000 0.5000
Al 0.5000 0.2517 0.2414
Al 0.5000 0.2517 0.7586
Al 0.5000 0.7483 0.2414
Al 0.5000 0.7483 0.7586
Cu 0.0000 0.0000 0.3322
Cu 0.0000 0.0000 0.6678
Cu 0.0000 0.5000 0.1685
Cu 0.0000 0.5000 0.8315
Cu 0.5000 0.5000 0.0000

Results
The energy relative to the elements is -0.362 eV per atom. For the magnetization, the calculation gives 0.0 Bohr magnetons per cell. The uncorrected energy is -4.31 eV per atom.

# 12
Density functional theory data (GGA-PBE) for an optimized crystal structure of RbAc2Cl7.

a = 8.6256 Å, b = 8.6256 Å, c = 5.7333 Å
α = 90.00°, β = 90.00°, γ = 115.85°
Positions (direct):
Rb 0.0000 0.0000 0.0000
Ac 0.3016 0.6984 0.5000
Ac 0.6984 0.3016 0.5000
Cl 0.0521 0.3258 0.5000
Cl 0.2749 0.7251 0.0000
Cl 0.3258 0.0521 0.5000
Cl 0.5000 0.5000 0.5000
Cl 0.6742 0.9479 0.5000
Cl 0.7251 0.2749 0.0000
Cl 0.9479 0.6742 0.5000

Results
Its formation energy without anion corrections is -2340 meV/atom. For the magnetization, the calculation gives 0.0 Bohr magnetons per cell. The uncorrected energy is -4.55 eV per atom.